1.
Computed, not measured: an optimized crystal structure of Cs2CdAs4W at the PBE level of DFT.

For the calculated volume, the calculation gives 33.32 A^3/atom. For the density of states at the Fermi level, the calculation gives 0.598 states/eV per atom. The calculation puts the calculated formation energy at -135 meV/atom.

The space group is Fddd (No. 70, origin choice 2) and the conventional cell measures 6.173, 15.515 and 22.267 Å, with angles of 90.00, 90.00 and 90.00 degrees. The inequivalent atoms are Cs at (0.125, 0.125, 0.311), Cd at (0.125, 0.125, 0.125), As at (0.080, 0.277, 0.811) and W at (0.125, 0.125, 0.625).

=====

2.
Computed, not measured: an optimized crystal structure of Cs2ZnCdAs2 at the PBE level of DFT.

For the calculated volume, the calculation gives 31.70 A^3/atom. For the density of states at the Fermi level, the calculation gives 0.088 states/eV per atom. The calculation puts the calculated formation energy at -401 meV/atom.

The space group is Ibam (No. 72) and the conventional cell measures 6.506, 18.029 and 6.486 Å, with angles of 90.00, 90.00 and 90.00 degrees. The inequivalent atoms are Cs at (0.244, 0.169, 0.000), Zn at (0.000, 0.500, 0.250), Cd at (0.000, 0.000, 0.250) and As at (0.229, 0.416, 0.000).

=====

3.
Computed, not measured: an optimized crystal structure of CdCuAs at the PBE level of DFT.

For the calculated volume, the calculation gives 19.28 A^3/atom. For the density of states at the Fermi level, the calculation gives 0.311 states/eV per atom. The calculation puts the calculated formation energy at 79 meV/atom.

The space group is P3m1 (No. 156) and the conventional cell measures 4.1052, 4.1052 and 3.9641 Å, with angles of 90.00, 90.00 and 120.00 degrees. The inequivalent atoms are Cd at (0.0000, 0.0000, 0.0000), Cu at (0.6667, 0.3333, 0.4849) and As at (0.3333, 0.6667, 0.5020).

=====

4.
Computed, not measured: an optimized crystal structure of CdCuAs2 at the PBE level of DFT.

For the calculated volume, the calculation gives 19.04 A^3/atom. For the density of states at the Fermi level, the calculation gives 0.286 states/eV per atom. The calculation puts the calculated formation energy at 208 meV/atom.

The space group is P4/mmm (No. 123) and the conventional cell measures 2.947, 2.947 and 8.772 Å, with angles of 90.00, 90.00 and 90.00 degrees. The inequivalent atoms are Cd at (0.000, 0.000, 0.000), Cu at (0.000, 0.000, 0.500) and As at (0.500, 0.500, 0.303).

=====

5.
Computed, not measured: an optimized crystal structure of CdCuAs2 at the PBE level of DFT.

For the calculated volume, the calculation gives 19.05 A^3/atom. For the density of states at the Fermi level, the calculation gives 0.380 states/eV per atom. The calculation puts the calculated formation energy at 208 meV/atom.

The space group is Cmmm (No. 65) and the conventional cell measures 3.921, 4.398 and 8.837 Å, with angles of 90.00, 90.00 and 90.00 degrees. The inequivalent atoms are Cd at (0.000, 0.000, 0.000), Cu at (0.000, 0.000, 0.500) and As at (0.000, 0.500, 0.302).

=====

6.
Computed, not measured: an optimized crystal structure of CdCuAs2 at the PBE level of DFT.

For the calculated volume, the calculation gives 18.77 A^3/atom. For the density of states at the Fermi level, the calculation gives 0.336 states/eV per atom. The calculation puts the calculated formation energy at 379 meV/atom.

The space group is F-43m (No. 216) and the conventional cell measures 6.697, 6.697 and 6.697 Å, with angles of 90.00, 90.00 and 90.00 degrees. The inequivalent atoms are Cd at (0.000, 0.000, 0.000), Cu at (0.250, 0.250, 0.250), As at (0.000, 0.000, 0.500) and As at (0.250, 0.250, 0.750).

=====

7.
Computed, not measured: an optimized crystal structure of CdCuAs2 at the PBE level of DFT.

For the calculated volume, the calculation gives 21.30 A^3/atom. For the density of states at the Fermi level, the calculation gives 0.278 states/eV per atom. The calculation puts the calculated formation energy at 90 meV/atom.

The space group is Cm (No. 8) and the conventional cell measures 8.436, 2.910 and 6.952 Å, with angles of 90.00, 92.82 and 90.00 degrees. The inequivalent atoms are Cd at (0.000, 0.000, 0.000), Cu at (0.430, 0.000, 0.669), As at (0.205, 0.500, 0.568) and As at (0.236, 0.500, 0.218).

=====

8.
Computed, not measured: an optimized crystal structure of CdCuAs2 at the PBE level of DFT.

For the calculated volume, the calculation gives 19.24 A^3/atom. For the density of states at the Fermi level, the calculation gives 0.176 states/eV per atom. The calculation puts the calculated formation energy at 181 meV/atom.

The space group is Pmmm (No. 47) and the conventional cell measures 2.730, 3.609 and 7.808 Å, with angles of 90.00, 90.00 and 90.00 degrees. The inequivalent atoms are Cd at (0.000, 0.000, 0.000), Cu at (0.000, 0.000, 0.500) and As at (0.500, 0.500, 0.306).

=====

9.
Computed, not measured: an optimized crystal structure of CdCuAs at the PBE level of DFT.

For the calculated volume, the calculation gives 18.21 A^3/atom. For the density of states at the Fermi level, the calculation gives 0.414 states/eV per atom. The calculation puts the calculated formation energy at 165 meV/atom.

The space group is P3m1 (No. 156) and the conventional cell measures 3.0796, 3.0796 and 6.6531 Å, with angles of 90.00, 90.00 and 120.00 degrees. The inequivalent atoms are Cd at (0.0000, 0.0000, 0.0000), Cu at (0.3333, 0.6667, 0.3245) and As at (0.6667, 0.3333, 0.5965).

=====

10.
Computed, not measured: an optimized crystal structure of CdCuAs2 at the PBE level of DFT.

For the calculated volume, the calculation gives 20.60 A^3/atom. For the density of states at the Fermi level, the calculation gives 0.414 states/eV per atom. The calculation puts the calculated formation energy at 73 meV/atom.

The space group is P2/m (No. 10) and the conventional cell measures 4.277, 3.660 and 5.491 Å, with angles of 90.00, 106.60 and 90.00 degrees. The inequivalent atoms are Cd at (0.000, 0.000, 0.000), Cu at (0.500, 0.000, 0.500) and As at (0.249, 0.500, 0.679).

=====

11.
Computed, not measured: an optimized crystal structure of CdCuAs2 at the PBE level of DFT.

For the calculated volume, the calculation gives 19.51 A^3/atom. For the density of states at the Fermi level, the calculation gives 0.346 states/eV per atom. The calculation puts the calculated formation energy at 111 meV/atom.

The space group is C2/m (No. 12) and the conventional cell measures 6.470, 3.742 and 6.794 Å, with angles of 90.00, 108.42 and 90.00 degrees. The inequivalent atoms are Cd at (0.000, 0.000, 0.000), Cu at (0.000, 0.500, 0.500) and As at (0.230, 0.000, 0.696).

=====

12.
Computed, not measured: an optimized crystal structure of CdCuAs2 at the PBE level of DFT.

For the calculated volume, the calculation gives 19.24 A^3/atom. For the density of states at the Fermi level, the calculation gives 0.273 states/eV per atom. The calculation puts the calculated formation energy at 173 meV/atom.

The space group is Pm (No. 6) and the conventional cell measures 2.797, 3.911 and 7.161 Å, with angles of 90.00, 100.74 and 90.00 degrees. The inequivalent atoms are Cd at (0.000, 0.000, 0.000), Cu at (0.623, 0.500, 0.258), As at (0.201, 0.000, 0.409) and As at (0.381, 0.500, 0.763).

=====

Going through the records in order, we get spin magnetization values of 0.00, 0.00, 0.00, 0.00, 0.00, 0.00, 0.00, 0.00, 0.00, 0.00, 0.00, 0.00 Bohr magnetons per cell.